(1)
This record from the Alexandria database describes LaCe2Bi after structural relaxation. The functional is PBE.

The structure in POSCAR format:
```
LaCe2Bi
1.0
5.022 0.000 0.000
0.000 4.868 0.000
0.000 0.000 4.868
Bi Ce La
1 2 1
direct
0.500 0.000 0.000
0.000 0.000 0.500
0.000 0.500 0.000
0.500 0.500 0.500
```

Computed properties:
SG: P4/mmm, No. 123
DFT total energy: -5.57 eV/atom
excess energy over the best structure of this formula in the dataset: 0.000 eV per atom
total magnetization: 2.16 μB/f.u.
ΔH_f (0 K): -0.40 eV per atom



(2)
This record from the Alexandria database describes La2Ce2Bi3 after structural relaxation. The functional is PBE.

The structure in POSCAR format:
```
La2Ce2Bi3
1.0
4.627 0.000 0.000
0.000 7.825 0.391
-2.314 -1.651 7.343
La Ce Bi
2 2 3
direct
0.377 0.139 0.753
0.623 0.861 0.247
0.120 0.383 0.239
0.880 0.617 0.761
0.000 0.000 0.000
0.259 0.746 0.518
0.741 0.254 0.482
```

Computed properties:
SG: C2/m, No. 12
DFT total energy: -5.38 eV/atom
total magnetization: 2.31 μB/f.u.
ΔH_f (0 K): -0.61 eV per atom



(3)
This record from the Alexandria database describes LaCeBi2 after structural relaxation. The functional is PBE.

The structure in POSCAR format:
```
LaCeBi2
1.0
4.654 0.000 0.000
2.327 4.031 0.000
2.327 1.344 7.610
Bi Ce La
2 1 1
direct
0.752 0.752 0.743
0.248 0.248 0.257
0.500 0.500 0.500
0.000 0.000 0.000
```

Computed properties:
SG: R-3m, No. 166
DFT total energy: -5.58 eV/atom
excess energy over the best structure of this formula in the dataset: 0.000 eV per atom
total magnetization: 0.85 μB/f.u.
ΔH_f (0 K): -0.92 eV per atom